The following is a GGA-PBEsol calculation of an optimized crystal structure of CaLaFe2, from Alexandria.

## Properties
Energy relative to the elements ... 0.326 eV per atom
Space-group type ... Imm2
Density of states at the Fermi level ... 3.203 states/eV/cell

Cell: 3.4422 4.5644 6.0989 Å, 111.98 106.39 90.00°
Closest atoms and distances in Å follow each position.
Positions (direct):
Ca: 0.2711 0.7711 0.5422  6 Fe 3.00-3.29, 2 La 3.30
La: 0.4918 0.4918 0.9836  6 Fe 2.93-3.10
Fe: 0.0509 0.0509 0.1017  2 Fe 2.26
Fe: 0.6862 0.1862 0.3725  2 Fe 2.26

=====

The following is a GGA-PBEsol calculation of an optimized crystal structure of CaLaFe, from Alexandria.

## Properties
Energy relative to the elements ... 0.321 eV per atom
Space-group type ... I4mm
Density of states at the Fermi level ... 4.288 states/eV/cell

Cell: 3.4556 3.4556 6.9401 Å, 104.42 104.42 90.00°
Closest atoms and distances in Å follow each position.
Positions (direct):
Fe: 0.6764 0.6764 0.3528  4 La 2.85, 4 Ca 3.06
Ca: 0.0350 0.0350 0.0700  4 Fe 3.06, 1 La 3.29
La: 0.2886 0.2886 0.5772  4 Fe 2.85

=====

The following is a GGA-PBEsol calculation of an optimized crystal structure of CaLaFe2, from Alexandria.

## Properties
Energy relative to the elements ... 0.626 eV per atom
Space-group type ... F-43m
Density of states at the Fermi level ... 7.003 states/eV/cell

Cell: 4.7633 4.7633 4.7633 Å, 60.00 60.00 60.00°
Closest atoms and distances in Å follow each position.
Positions (direct):
La: 0.2500 0.2500 0.2500  4 Fe 2.92, 4 Ca 2.92
Ca: 0.5000 0.5000 0.5000  4 La 2.92, 4 Fe 2.92
Fe: 0.7500 0.7500 0.7500  4 Ca 2.92, 4 Fe 2.92
Fe: 0.0000 0.0000 0.0000  4 La 2.92, 4 Fe 2.92

=====

Energy values, unit eV for the cell shown, following the record order: -24.10 -15.48 -22.90.
Magnetic moment values, unit μB/f.u., following the record order: 3.5 1.2 4.7.